Density functional theory data (PBE) for a relaxed structure of CsCa2GeBr8.

## Properties
The calculation puts the density of states at the Fermi level at 0.666 states/eV/atom. As for the volume: 433.00 Å³ per cell. The calculation puts the total energy at -3.2629 eV/atom.

a = 6.883 Å, b = 6.576 Å, c = 9.566 Å
α = 89.90°, β = 89.94°, γ = 89.38°
Sites, in units of the cell vectors:
Br 0.340 0.247 0.000
Br 0.847 0.249 0.199
Br 0.153 0.751 0.801
Br 0.535 0.744 0.500
Br 0.151 0.750 0.200
Ge 0.000 0.000 0.000
Cs 0.000 0.000 0.500
Br 0.849 0.250 0.800
Ca 0.500 0.500 0.230
Ca 0.500 0.500 0.770
Br 0.465 0.256 0.500
Br 0.660 0.753 0.000

Density functional theory data (PBE) for a relaxed structure of Cs4CaGe3Br12.

## Properties
The calculation puts the density of states at the Fermi level at 0.000 states/eV/atom. As for the volume: 723.38 Å³ per cell. The calculation puts the total energy at -3.2749 eV/atom.

a = 9.795 Å, b = 9.795 Å, c = 9.795 Å
α = 109.47°, β = 109.47°, γ = 109.47°
Sites, in units of the cell vectors:
Ca 0.000 0.000 0.000
Cs 0.500 0.500 0.500
Cs 0.000 0.500 0.000
Br 0.000 0.746 0.746
Br 0.254 0.000 0.254
Ge 0.000 0.500 0.500
Br 0.750 0.500 0.250
Br 0.500 0.750 0.250
Br 0.746 0.746 0.000
Br 0.254 0.254 0.000
Br 0.750 0.250 0.500
Cs 0.500 0.000 0.000
Cs 0.000 0.000 0.500
Ge 0.500 0.500 0.000
Br 0.250 0.500 0.750
Br 0.000 0.254 0.254
Br 0.500 0.250 0.750
Br 0.250 0.750 0.500
Ge 0.500 0.000 0.500
Br 0.746 0.000 0.746

Density functional theory data (PBE) for a relaxed structure of CsCaHBr2.

## Properties
The calculation puts the density of states at the Fermi level at 0.000 states/eV/atom. As for the volume: 157.89 Å³ per cell. The calculation puts the total energy at -3.3613 eV/atom.

a = 5.924 Å, b = 5.924 Å, c = 4.499 Å
α = 90.00°, β = 90.00°, γ = 90.00°
Sites, in units of the cell vectors:
H 0.000 0.000 0.500
Ca 0.000 0.000 0.000
Br 0.500 0.000 0.000
Cs 0.500 0.500 0.500
Br 0.000 0.500 0.000

Density functional theory data (PBE) for a relaxed structure of Cs2CaHfBr6.

## Properties
The calculation puts the density of states at the Fermi level at 0.713 states/eV/atom. As for the volume: 354.90 Å³ per cell. The calculation puts the total energy at -3.8718 eV/atom.

a = 7.947 Å, b = 7.947 Å, c = 7.947 Å
α = 60.00°, β = 60.00°, γ = 90.00°
Site moments in Bohr magnetons follow the coordinates.
Sites, in units of the cell vectors:
Br 0.243 0.757 0.000  0.00
Ca 0.500 0.500 0.000  0.07
Cs 0.250 0.750 0.500  0.00
Br 0.243 0.243 0.000  0.00
Br 0.757 0.243 0.000  0.00
Cs 0.750 0.250 0.500  0.00
Br 0.757 0.757 0.486  0.00
Hf 0.000 0.000 0.000  1.14
Br 0.243 0.243 0.514  0.00
Br 0.757 0.757 0.000  0.00

Density functional theory data (PBE) for a relaxed structure of Cs2CaHgBr6.

## Properties
The calculation puts the density of states at the Fermi level at 0.000 states/eV/atom. As for the volume: 744.27 Å³ per cell. The offset from the most stable computed form is 0 meV/atom. The calculation puts the total energy at -2.8643 eV/atom.

a = 8.072 Å, b = 8.047 Å, c = 11.459 Å
α = 90.00°, β = 90.20°, γ = 90.00°
Sites, in units of the cell vectors:
Ca 0.500 0.000 0.000
Br 0.455 0.001 0.749
Br 0.275 0.719 0.024
Br 0.545 0.999 0.251
Cs 0.995 0.029 0.751
Cs 0.005 0.971 0.249
Ca 0.000 0.500 0.500
Br 0.955 0.499 0.249
Br 0.219 0.224 0.024
Br 0.781 0.776 0.976
Br 0.225 0.219 0.476
Hg 0.000 0.500 0.000
Hg 0.500 0.000 0.500
Cs 0.495 0.471 0.251
Br 0.281 0.724 0.476
Br 0.725 0.281 0.976
Cs 0.505 0.529 0.749
Br 0.045 0.501 0.751
Br 0.719 0.276 0.524
Br 0.775 0.781 0.524

Density functional theory data (PBE) for a relaxed structure of CsCaHg2Br6.

## Properties
The calculation puts the density of states at the Fermi level at 0.202 states/eV/atom. As for the volume: 362.05 Å³ per cell. The calculation puts the total energy at -2.4598 eV/atom.

a = 7.664 Å, b = 7.663 Å, c = 8.377 Å
α = 89.98°, β = 117.16°, γ = 120.01°
Sites, in units of the cell vectors:
Hg 0.596 0.797 0.379
Br 0.586 0.013 0.680
Cs 0.049 0.524 0.559
Ca 0.981 0.990 0.956
Br 0.121 0.108 0.680
Br 0.764 0.704 0.149
Br 0.459 0.059 0.149
Br 0.103 0.398 0.149
Hg 0.624 0.312 0.922
Br 0.681 0.573 0.680

Density functional theory data (PBE) for a relaxed structure of CsCaHgBr2.

## Properties
The calculation puts the density of states at the Fermi level at 0.671 states/eV/atom. As for the volume: 211.15 Å³ per cell. The calculation puts the total energy at -2.5343 eV/atom.

a = 5.784 Å, b = 5.784 Å, c = 6.312 Å
α = 90.00°, β = 90.00°, γ = 90.00°
Sites, in units of the cell vectors:
Hg 0.000 0.000 0.500
Br 0.500 0.000 0.000
Cs 0.500 0.500 0.500
Br 0.000 0.500 0.000
Ca 0.000 0.000 0.000

Density functional theory data (PBE) for a relaxed structure of Cs2CaHgBr6.

## Properties
The calculation puts the density of states at the Fermi level at 0.000 states/eV/atom. As for the volume: 375.43 Å³ per cell. The offset from the most stable computed form is 2 meV/atom. The calculation puts the total energy at -2.8619 eV/atom.

a = 8.096 Å, b = 8.096 Å, c = 8.098 Å
α = 60.01°, β = 60.01°, γ = 90.00°
Sites, in units of the cell vectors:
Br 0.752 0.752 0.000
Cs 0.250 0.750 0.500
Ca 0.500 0.500 0.000
Hg 0.000 0.000 0.000
Br 0.752 0.752 0.497
Br 0.248 0.752 0.000
Br 0.248 0.248 0.503
Br 0.248 0.248 0.000
Cs 0.750 0.250 0.500
Br 0.752 0.248 0.000

Density functional theory data (PBE) for a relaxed structure of CsCaHgBr5.

## Properties
The calculation puts the density of states at the Fermi level at 0.000 states/eV/atom. As for the volume: 646.65 Å³ per cell. The calculation puts the total energy at -2.8302 eV/atom.

a = 8.267 Å, b = 8.267 Å, c = 10.718 Å
α = 103.53°, β = 103.53°, γ = 106.45°
Sites, in units of the cell vectors:
Ca 0.000 0.000 0.000
Br 0.374 0.243 0.059
Br 0.687 0.100 0.403
Br 0.243 0.374 0.559
Br 0.313 0.900 0.597
Cs 0.341 0.659 0.250
Br 0.068 0.932 0.250
Hg 0.686 0.314 0.250
Br 0.932 0.068 0.750
Ca 0.000 0.000 0.500
Br 0.100 0.687 0.903
Br 0.757 0.626 0.441
Br 0.900 0.313 0.097
Cs 0.659 0.341 0.750
Hg 0.314 0.686 0.750
Br 0.626 0.757 0.941

Density functional theory data (PBE) for a relaxed structure of Cs3Ca2I5Br2.

## Properties
The calculation puts the density of states at the Fermi level at 0.000 states/eV/atom. As for the volume: 587.38 Å³ per cell. The calculation puts the total energy at -3.1430 eV/atom.

a = 6.229 Å, b = 6.229 Å, c = 15.768 Å
α = 101.39°, β = 101.39°, γ = 90.00°
Sites, in units of the cell vectors:
I 0.500 0.500 0.000
I 0.901 0.401 0.802
I 0.599 0.099 0.198
Ca 0.605 0.605 0.209
Cs 0.816 0.816 0.632
Ca 0.395 0.395 0.791
I 0.099 0.599 0.198
I 0.401 0.901 0.802
Br 0.698 0.698 0.396
Cs 0.000 0.000 0.000
Cs 0.184 0.184 0.368
Br 0.302 0.302 0.604

Density functional theory data (PBE) for a relaxed structure of Cs4Ca3InBr12.

## Properties
The calculation puts the density of states at the Fermi level at 0.273 states/eV/atom. As for the volume: 772.47 Å³ per cell. The calculation puts the total energy at -3.3621 eV/atom.

a = 10.012 Å, b = 10.012 Å, c = 10.012 Å
α = 109.47°, β = 109.47°, γ = 109.47°
Sites, in units of the cell vectors:
Ca 0.500 0.500 0.000
In 0.000 0.000 0.000
Br 0.500 0.250 0.750
Br 0.250 0.500 0.750
Cs 0.000 0.000 0.500
Br 0.250 0.750 0.500
Br 0.750 0.250 0.500
Br 0.000 0.251 0.251
Br 0.000 0.749 0.749
Br 0.749 0.749 0.000
Cs 0.000 0.500 0.000
Br 0.500 0.750 0.250
Br 0.750 0.500 0.250
Ca 0.000 0.500 0.500
Cs 0.500 0.500 0.500
Ca 0.500 0.000 0.500
Br 0.749 0.000 0.749
Br 0.251 0.251 0.000
Cs 0.500 0.000 0.000
Br 0.251 0.000 0.251

Density functional theory data (PBE) for a relaxed structure of Cs2CaIn2Br6.

## Properties
The calculation puts the density of states at the Fermi level at 0.000 states/eV/atom. As for the volume: 449.89 Å³ per cell. The calculation puts the total energy at -3.1533 eV/atom.

a = 8.414 Å, b = 7.433 Å, c = 9.218 Å
α = 105.42°, β = 90.00°, γ = 124.47°
Sites, in units of the cell vectors:
In 0.099 0.198 0.182
Br 0.780 0.095 0.764
Cs 0.303 0.606 0.874
Cs 0.697 0.394 0.126
In 0.901 0.802 0.818
Br 0.220 0.905 0.236
Br 0.685 0.905 0.236
Br 0.315 0.095 0.764
Br 0.737 0.474 0.517
Br 0.263 0.526 0.483
Ca 0.500 0.000 0.500